Density functional theory data (PBE-GGA) for crystalline SrMgTc2Rh at its relaxed geometry.

Output
**Mass density**: 5946 kg/m3
**Total energy**: -27.352 eV/f.u.
**Calculated volume**: 114.7 Å³ per cell
**Magnetization**: 1.5 μB/cell
**N(E_F)**: 5.9 states/eV/f.u.

Cell: 4.8265 4.8265 4.9250 Å, 90.00 90.00 90.00°
Closest atoms and distances in Å follow each position.
Space group P4/mmm (No. 123)
Unique sites:
Sr (0.0000, 0.0000, 0.0000) x1  4 Mg 3.41, 8 Tc 3.45
Mg (0.5000, 0.5000, 0.0000) x1  2 Rh 2.46
Tc (0.0000, 0.5000, 0.5000) x2  2 Rh 2.41
Rh (0.5000, 0.5000, 0.5000) x1  4 Tc 2.41, 2 Mg 2.46

Density functional theory data (PBE-GGA) for crystalline SrMgTcRh2 at its relaxed geometry.

Output
**Relative energy among the computed polymorphs**: 982 meV/atom
**Mass density**: 5606 kg/m3
**Calculated volume**: 123.1 Å³ per cell
**Magnetization**: 3.1 μB/cell
**N(E_F)**: 8.1 states/eV/f.u.

Cell: 4.9579 4.9579 5.0095 Å, 90.00 90.00 90.00°
Closest atoms and distances in Å follow each position.
Space group P4/mmm (No. 123)
Unique sites:
Sr (0.0000, 0.0000, 0.0000) x1  4 Rh 2.48, 2 Tc 2.50
Mg (0.5000, 0.5000, 0.5000) x1  4 Tc 3.51, 8 Rh 3.52
Tc (0.0000, 0.0000, 0.5000) x1  2 Sr 2.50
Rh (0.0000, 0.5000, 0.0000) x2  2 Sr 2.48

Density functional theory data (PBE-GGA) for crystalline Sr2MgTeRh at its relaxed geometry.

Output
**Mass density**: 4395 kg/m3
**Calculated volume**: 162.5 Å³ per cell
**Uncorrected formation energy**: -3.039 eV/f.u.
**Magnetization**: 0.0 μB/cell
**N(E_F)**: 0.8 states/eV/f.u.

Cell: 5.7329 5.7329 4.9433 Å, 90.00 90.00 90.00°
Closest atoms and distances in Å follow each position.
Space group P4/mmm (No. 123)
Unique sites:
Sr (0.0000, 0.5000, 0.0000) x2  2 Rh 2.87
Mg (0.0000, 0.0000, 0.5000) x1  2 Rh 2.47
Te (0.5000, 0.5000, 0.5000) x1  8 Sr 3.78, 4 Mg 4.05
Rh (0.0000, 0.0000, 0.0000) x1  2 Mg 2.47

Density functional theory data (PBE-GGA) for crystalline SrMg2TeRh at its relaxed geometry.

Output
**Mass density**: 4526 kg/m3
**Calculated volume**: 134.6 Å³ per cell
**Uncorrected formation energy**: -2.220 eV/f.u.
**Magnetization**: 0.0 μB/cell
**N(E_F)**: 2.4 states/eV/f.u.

Cell: 4.9487 4.9487 5.4948 Å, 90.00 90.00 90.00°
Closest atoms and distances in Å follow each position.
Space group P4/mmm (No. 123)
Unique sites:
Sr (0.0000, 0.0000, 0.0000) x1  4 Te 3.50, 8 Mg 3.70
Mg (0.0000, 0.5000, 0.5000) x2  2 Rh 2.47
Te (0.5000, 0.5000, 0.0000) x1  2 Rh 2.75
Rh (0.5000, 0.5000, 0.5000) x1  4 Mg 2.47, 2 Te 2.75